This record from Alexandria describes Mg2VTeO after structural relaxation. The functional is PBE+U.

Calculated values
- Symmetry: P4/mmm, No. 123
- D(E_F): 7.54 states/eV per cell
- Raw total energy: -14.6 eV for the cell shown

abc: 5.6220 5.6220 4.0631
angles: 90.00 90.00 90.00
Fractional coordinates of all 5 atoms:
1 Mg 0.0000 0.5000 0.0000
2 Mg 0.5000 0.0000 0.0000
3 V 0.0000 0.0000 0.5000
4 Te 0.5000 0.5000 0.0000
5 O 0.5000 0.5000 0.5000